No. 1
This record from Alexandria via LeMat-Bulk describes a relaxed HoGaSb crystal. The functional is PBE-GGA.

Cell: 3.7592 3.7592 5.7451 Å, 109.10 109.10 90.00°
Last column: nearest neighbours and their distance in Å.
Atoms (fractional coordinates):
Ho 0.6160 0.6160 0.2319  5 Sb 3.20-3.26, 5 Ga 3.22-3.25
Ga 0.9325 0.9325 0.8650  4 Sb 2.97, 5 Ho 3.22-3.25
Sb 0.3015 0.3015 0.6030  4 Ga 2.97, 5 Ho 3.20-3.26

DOS(E_F) = 2.69 states/eV per cell
excess energy over the best structure of this formula in the dataset = 0.50 eV per formula unit
V = 23.99 Å³ per atom
density = 8.22 g/cm3

No. 2
This record from Alexandria via LeMat-Bulk describes a relaxed Ho2GaSb crystal. The functional is PBE-GGA.

Cell: 4.1296 4.1296 7.8423 Å, 74.73 74.73 60.00°
Last column: nearest neighbours and their distance in Å.
Atoms (fractional coordinates):
Ga 0.0000 0.0000 0.0000  6 Ho 3.04
Ho 0.7505 0.7505 0.7485  3 Sb 3.02, 3 Ga 3.04
Ho 0.2495 0.2495 0.2515  3 Sb 3.02, 3 Ga 3.04
Sb 0.5000 0.5000 0.5000  6 Ho 3.02

DOS(E_F) = 2.73 states/eV per cell
excess energy over the best structure of this formula in the dataset = 0.64 eV per formula unit
V = 27.58 Å³ per atom
density = 7.85 g/cm3

No. 3
This record from Alexandria via LeMat-Bulk describes a relaxed Ho7Ga5Sb crystal. The functional is PBE-GGA.

Cell: 6.0850 7.8811 7.8811 Å, 82.36 67.29 67.29°
Last column: nearest neighbours and their distance in Å.
Atoms (fractional coordinates):
Ho 0.6285 0.3715 0.3715  1 Sb 3.19, 4 Ga 3.29, 4 Ho 3.42-3.54
Ho 0.5361 0.7928 0.1351  3 Ga 2.90-3.04, 1 Ho 3.13
Ho 0.5361 0.1351 0.7928  3 Ga 2.90-3.04, 1 Ho 3.13
Ho 0.2828 0.2172 0.2172  4 Ga 2.97, 2 Ho 3.13
Ho 0.0023 0.6832 0.3122  5 Ga 2.98-3.10, 1 Sb 3.32
Ho 0.2446 0.7554 0.7554  6 Ga 3.02-3.06, 1 Sb 3.08
Ho 0.0023 0.3122 0.6832  5 Ga 2.98-3.10, 1 Sb 3.32
Ga 0.0179 0.4853 0.9914  5 Ho 2.90-3.10, 3 Ga 2.97-3.12
Ga 0.5054 0.9914 0.4853  5 Ho 2.90-3.10, 3 Ga 2.97-3.12
Ga 0.7789 0.7211 0.7211  6 Ho 2.98-3.06, 4 Ga 3.06
Ga 0.0179 0.9914 0.4853  5 Ho 2.90-3.10, 3 Ga 2.97-3.12
Ga 0.5054 0.4853 0.9914  5 Ho 2.90-3.10, 3 Ga 2.97-3.12
Sb 0.9419 0.0581 0.0581  6 Ho 3.08-3.45

DOS(E_F) = 10.30 states/eV per cell
V = 24.74 Å³ per atom
density = 8.39 g/cm3
calculated total energy = -4.372 eV/atom

No. 4
This record from Alexandria via LeMat-Bulk describes a relaxed Ho5Ga2Sb crystal. The functional is PBE-GGA.

Cell: 8.0958 8.0958 8.5455 Å, 118.27 118.27 90.00°
Last column: nearest neighbours and their distance in Å.
Atoms (fractional coordinates):
Ho 0.7974 0.9890 0.2863  3 Ga 2.91-3.04
Ho 0.0110 0.5110 0.7137  3 Ga 2.91-3.04
Ho 0.5000 0.5000 0.0000  4 Ga 3.10, 2 Sb 3.17
Ho 0.2974 0.7974 0.2863  3 Ga 2.91-3.04
Ho 0.4890 0.2974 0.2863  3 Ga 2.91-3.04
Ho 0.9890 0.4890 0.2863  3 Ga 2.91-3.04
Ho 0.0000 0.0000 0.0000  4 Ga 3.10, 2 Sb 3.17
Ho 0.5110 0.7026 0.7137  3 Ga 2.91-3.04
Ho 0.2026 0.0110 0.7137  3 Ga 2.91-3.04
Ho 0.7026 0.2026 0.7137  3 Ga 2.91-3.04
Sb 0.7500 0.7500 0.5000  10 Ho 3.17-3.35
Sb 0.2500 0.2500 0.5000  10 Ho 3.17-3.35
Ga 0.3532 0.8532 0.0000  8 Ho 2.91-3.10
Ga 0.8532 0.6468 0.0000  8 Ho 2.91-3.10
Ga 0.1468 0.3532 0.0000  8 Ho 2.91-3.10
Ga 0.6468 0.1468 0.0000  8 Ho 2.91-3.10

DOS(E_F) = 13.57 states/eV per cell
V = 25.99 Å³ per atom
density = 8.67 g/cm3
calculated total energy = -4.776 eV/atom

No. 5
This record from Alexandria via LeMat-Bulk describes a relaxed HoGaSb crystal. The functional is PBE-GGA.

Cell: 3.8811 4.7191 4.7191 Å, 120.00 90.00 90.00°
Last column: nearest neighbours and their distance in Å.
Atoms (fractional coordinates):
Ho 0.6888 0.6667 0.3333  3 Ga 3.13, 6 Sb 3.26-3.43
Sb 0.2273 0.3333 0.6667  3 Ga 2.78
Ga 0.0839 0.0000 0.0000  3 Sb 2.78

DOS(E_F) = 1.54 states/eV per cell
excess energy over the best structure of this formula in the dataset = 0.53 eV per formula unit
V = 24.95 Å³ per atom
density = 7.91 g/cm3

No. 6
This record from Alexandria via LeMat-Bulk describes a relaxed Ho5GaSb2 crystal. The functional is PBE-GGA.

Cell: 5.9137 6.6815 14.1817 Å, 90.00 90.00 116.27°
Last column: nearest neighbours and their distance in Å.
Atoms (fractional coordinates):
Ho 0.6254 0.2509 0.9290  1 Ga 2.97, 3 Sb 3.04-3.13
Ho 0.6254 0.2509 0.5710  1 Ga 2.97, 3 Sb 3.04-3.13
Ho 0.9314 0.8629 0.8867  1 Ga 2.87, 2 Sb 3.06
Ho 0.3746 0.7491 0.0710  1 Ga 2.97, 3 Sb 3.04-3.13
Ho 0.3327 0.6654 0.7500  2 Sb 3.00, 2 Ga 3.10
Ho 0.3746 0.7491 0.4290  1 Ga 2.97, 3 Sb 3.04-3.13
Ho 0.9314 0.8629 0.6133  1 Ga 2.87, 2 Sb 3.06
Ho 0.0686 0.1371 0.3867  1 Ga 2.87, 2 Sb 3.06
Ho 0.0686 0.1371 0.1133  1 Ga 2.87, 2 Sb 3.06
Ho 0.6673 0.3346 0.2500  2 Sb 3.00, 2 Ga 3.10
Ga 0.7547 0.5093 0.7500  6 Ho 2.87-3.10
Ga 0.2453 0.4907 0.2500  6 Ho 2.87-3.10
Sb 0.8160 0.6320 0.0795  6 Ho 3.00-3.13
Sb 0.1840 0.3680 0.9206  6 Ho 3.00-3.13
Sb 0.1840 0.3680 0.5794  6 Ho 3.00-3.13
Sb 0.8160 0.6320 0.4206  6 Ho 3.00-3.13

DOS(E_F) = 15.87 states/eV per cell
V = 31.41 Å³ per atom
density = 7.52 g/cm3
calculated total energy = -4.650 eV/atom

No. 7
This record from Alexandria via LeMat-Bulk describes a relaxed HoGaSb2 crystal. The functional is PBE-GGA.

Cell: 4.1168 4.1168 7.8277 Å, 74.75 74.75 60.00°
Last column: nearest neighbours and their distance in Å.
Atoms (fractional coordinates):
Sb 0.7436 0.7436 0.7692  3 Ga 2.93, 3 Ho 3.11
Sb 0.2564 0.2564 0.2308  3 Ga 2.93, 3 Ho 3.11
Ga 0.0000 0.0000 0.0000  6 Sb 2.93
Ho 0.5000 0.5000 0.5000  6 Sb 3.11

DOS(E_F) = 3.09 states/eV per cell
V = 27.37 Å³ per atom
density = 7.25 g/cm3
calculated total energy = -4.290 eV/atom

No. 8
This record from Alexandria via LeMat-Bulk describes a relaxed Ho8GaSb3Te4 crystal. The functional is PBE-GGA.

Cell: 8.6789 8.6923 8.6785 Å, 119.95 120.00 90.00°
Last column: nearest neighbours and their distance in Å.
Atoms (fractional coordinates):
Ho 0.7582 0.7306 0.9944  1 Ga 2.90, 2 Sb 3.04, 3 Te 3.11-3.24
Ho 0.2538 0.2613 0.5075  3 Sb 3.02-3.03, 3 Te 3.12
Ho 0.2362 0.7306 0.9944  1 Ga 2.90, 2 Sb 3.04, 3 Te 3.11-3.24
Ho 0.7462 0.7387 0.4925  3 Sb 3.02-3.03, 3 Te 3.12
Ho 0.7638 0.2694 0.0056  1 Ga 2.90, 2 Sb 3.04, 3 Te 3.11-3.24
Ho 0.2418 0.2694 0.0056  1 Ga 2.90, 2 Sb 3.04, 3 Te 3.11-3.24
Ho 0.2363 0.7306 0.4725  1 Ga 2.90, 2 Sb 3.04, 3 Te 3.11-3.24
Ho 0.7637 0.2694 0.5275  1 Ga 2.90, 2 Sb 3.04, 3 Te 3.11-3.24
Te 0.0000 0.0000 0.5000  6 Ho 3.11-3.12
Te 0.0000 0.0000 0.0000  6 Ho 3.11-3.12
Te 0.5000 0.0000 0.0000  6 Ho 3.24
Te 0.5000 0.0000 0.5000  6 Ho 3.11-3.12
Sb 0.5000 0.5000 0.0000  6 Ho 3.02-3.04
Sb 0.0000 0.5000 0.5000  6 Ho 3.03-3.04
Sb 0.5000 0.5000 0.5000  6 Ho 3.03-3.04
Ga 0.0000 0.5000 0.0000  6 Ho 2.90

DOS(E_F) = 2.20 states/eV per cell
V = 28.96 Å³ per atom
density = 8.12 g/cm3
calculated total energy = -5.208 eV/atom

No. 9
This record from Alexandria via LeMat-Bulk describes a relaxed HoSc2Ga3 crystal. The functional is PBE-GGA.

Cell: 3.4178 3.4178 10.3154 Å, 90.00 90.00 90.00°
Last column: nearest neighbours and their distance in Å.
Atoms (fractional coordinates):
Ga 0.0000 0.0000 0.6832  4 Sc 2.91, 4 Ho 3.07
Ga 0.0000 0.0000 0.3168  4 Sc 2.91, 4 Ho 3.07
Ga 0.0000 0.0000 0.0000  8 Sc 2.92, 2 Ga 3.27
Sc 0.5000 0.5000 0.1591  8 Ga 2.91-2.92
Sc 0.5000 0.5000 0.8409  8 Ga 2.91-2.92
Ho 0.5000 0.5000 0.5000  8 Ga 3.07, 4 Ho 3.42

DOS(E_F) = 3.09 states/eV per cell
excess energy over the best structure of this formula in the dataset = 0.00 eV per formula unit
V = 20.08 Å³ per atom
density = 6.39 g/cm3
ΔH_f (0 K) = -0.5854 eV/atom

No. 10
This record from Alexandria via LeMat-Bulk describes a relaxed Ho2ScGa crystal. The functional is PBE-GGA.

Cell: 3.3928 3.3928 11.4748 Å, 81.50 81.50 60.00°
Last column: nearest neighbours and their distance in Å.
Atoms (fractional coordinates):
Ga 0.0000 0.0000 0.0000  2 Ho 2.98
Ho 0.9120 0.9120 0.2640  1 Ga 2.98, 3 Sc 3.31
Ho 0.0880 0.0880 0.7360  1 Ga 2.98, 3 Sc 3.31
Sc 0.5000 0.5000 0.5000  6 Ho 3.31, 6 Sc 3.39

DOS(E_F) = 4.19 states/eV per cell
excess energy over the best structure of this formula in the dataset = 1.60 eV per formula unit
V = 28.18 Å³ per atom
density = 6.55 g/cm3
ΔH_f (0 K) = 0.1367 eV/atom

No. 11
This record from Alexandria via LeMat-Bulk describes a relaxed Ho3ScGa4 crystal. The functional is PBE-GGA.

Cell: 4.9529 4.9529 8.6166 Å, 73.30 73.30 60.00°
Last column: nearest neighbours and their distance in Å.
Atoms (fractional coordinates):
Ga 0.8766 0.8766 0.3703  1 Sc 3.01, 7 Ho 3.03-3.12
Ga 0.6265 0.6265 0.1206  5 Ho 2.98-3.08, 3 Sc 3.02
Ga 0.3735 0.3735 0.8794  5 Ho 2.98-3.08, 3 Sc 3.02
Ga 0.1234 0.1234 0.6297  1 Sc 3.01, 7 Ho 3.03-3.12
Ho 0.7485 0.7485 0.7544  8 Ga 2.98-3.12
Ho 0.2515 0.2515 0.2456  8 Ga 2.98-3.12
Ho 0.5000 0.5000 0.5000  8 Ga 3.05-3.08
Sc 0.0000 0.0000 0.0000  8 Ga 3.01-3.02

DOS(E_F) = 2.90 states/eV per cell
V = 21.59 Å³ per atom
density = 7.87 g/cm3
ΔH_f (0 K) = -0.5719 eV/atom

No. 12
This record from Alexandria via LeMat-Bulk describes a relaxed HoSc5Ga6 crystal. The functional is PBE-GGA.

Cell: 4.8107 6.7346 8.3228 Å, 113.87 106.80 90.00°
Last column: nearest neighbours and their distance in Å.
Atoms (fractional coordinates):
Ga 0.1703 0.9131 0.3406  7 Sc 2.90-2.97, 1 Ho 3.01
Ga 0.8297 0.5725 0.6594  7 Sc 2.90-2.97, 1 Ho 3.01
Ga 0.1703 0.4275 0.3406  7 Sc 2.90-2.97, 1 Ho 3.01
Ga 0.8297 0.0869 0.6594  7 Sc 2.90-2.97, 1 Ho 3.01
Ga 0.5000 0.2646 0.0000  6 Sc 2.88-2.96, 2 Ho 2.99, 1 Ga 3.17
Ga 0.5000 0.7354 0.0000  6 Sc 2.88-2.96, 2 Ho 2.99, 1 Ga 3.17
Sc 0.3315 0.3315 0.6630  8 Ga 2.90-2.91
Sc 0.6635 0.1635 0.3269  8 Ga 2.90-2.97
Sc 0.6685 0.6685 0.3370  8 Ga 2.90-2.91
Sc 0.3365 0.8365 0.6731  8 Ga 2.90-2.97
Sc 0.0000 0.5000 0.0000  8 Ga 2.88-2.95
Ho 0.0000 0.0000 0.0000  8 Ga 2.99-3.01

DOS(E_F) = 5.21 states/eV per cell
V = 19.50 Å³ per atom
density = 5.74 g/cm3
ΔH_f (0 K) = -0.5847 eV/atom